Model one:
The following is a DFT calculation (PBE) of a relaxed LiTaCuGe crystal.

abc: 4.334 4.334 4.334
angles: 60.00 60.00 60.00
Positions (direct):
Cu: 0.750 0.750 0.750
Ge: 0.000 0.000 0.000
Li: 0.500 0.500 0.500
Ta: 0.250 0.250 0.250

Values from the calculation:
Magnetization ... 0.3 μB/cell


Model two:
The following is a DFT calculation (PBE) of a relaxed LiTaCuGe crystal.

abc: 4.329 4.329 4.329
angles: 60.00 60.00 60.00
Positions (direct):
Cu: 0.750 0.750 0.750
Ge: 0.000 0.000 0.000
Li: 0.250 0.250 0.250
Ta: 0.500 0.500 0.500

Values from the calculation:
Magnetization ... 0.8 μB/cell


The energy of each structure relative to the most stable one, in eV/atom, is as follows: model one 0.000; model two 0.136.


Model one:
The following is a DFT calculation (PBE) of a relaxed HfZr2Ni3As4Pd crystal.

abc: 6.499 3.845 7.422
angles: 90.00 90.68 90.00
Positions (direct):
As: 0.245 0.500 0.108
As: 0.767 0.500 0.391
As: 0.227 0.000 0.631
As: 0.780 0.000 0.865
Hf: 0.464 0.000 0.320
Ni: 0.152 0.500 0.444
Ni: 0.860 0.000 0.558
Ni: 0.371 0.000 0.941
Pd: 0.637 0.500 0.065
Zr: 0.972 0.000 0.184
Zr: 0.523 0.500 0.691

Values from the calculation:
Magnetization ... 0.0 μB/cell


Model two:
The following is a DFT calculation (PBE) of a relaxed HfZr2Ni3As4Pd crystal.

abc: 6.527 3.862 7.343
angles: 90.00 91.13 90.00
Positions (direct):
As: 0.739 0.000 0.099
As: 0.243 0.000 0.376
As: 0.768 0.500 0.652
As: 0.238 0.500 0.874
Hf: 0.473 0.000 0.695
Ni: 0.364 0.000 0.059
Ni: 0.152 0.500 0.558
Ni: 0.614 0.500 0.945
Pd: 0.855 0.000 0.449
Zr: 0.024 0.500 0.174
Zr: 0.532 0.500 0.318

Values from the calculation:
Magnetization ... 0.0 μB/cell


The energy of each structure relative to the most stable one, in eV/atom, is as follows: model one 0.013; model two 0.000.


Model one:
The following is a DFT calculation (PBE) of a relaxed CdInW crystal.

abc: 4.654 4.654 4.654
angles: 60.00 60.00 60.00
Positions (direct):
Cd: 0.250 0.250 0.250
In: 0.750 0.750 0.750
W: 0.000 0.000 0.000

Values from the calculation:
Magnetization ... 1.9 μB/cell


Model two:
The following is a DFT calculation (PBE) of a relaxed CdInW crystal.

abc: 4.633 4.633 4.633
angles: 60.00 60.00 60.00
Positions (direct):
Cd: 0.250 0.250 0.250
In: 0.000 0.000 0.000
W: 0.750 0.750 0.750

Values from the calculation:
Magnetization ... 2.5 μB/cell


The energy of each structure relative to the most stable one, in eV/atom, is as follows: model one 0.000; model two 0.112.


Model one:
The following is a DFT calculation (PBE) of a relaxed YGaFeW crystal.

abc: 4.590 4.590 4.590
angles: 60.00 60.00 60.00
Positions (direct):
Fe: 0.750 0.750 0.750
Ga: 0.000 0.000 0.000
W: 0.500 0.500 0.500
Y: 0.250 0.250 0.250

Values from the calculation:
Magnetization ... 1.8 μB/cell


Model two:
The following is a DFT calculation (PBE) of a relaxed YGaFeW crystal.

abc: 4.590 4.590 4.590
angles: 60.00 60.00 60.00
Positions (direct):
Fe: 0.750 0.750 0.750
Ga: 0.000 0.000 0.000
W: 0.250 0.250 0.250
Y: 0.500 0.500 0.500

Values from the calculation:
Magnetization ... 2.6 μB/cell


The energy of each structure relative to the most stable one, in eV/atom, is as follows: model one 0.000; model two 0.051.


Model one:
The following is a DFT calculation (PBE) of a relaxed Si2NiPd crystal.

abc: 3.863 4.238 6.575
angles: 90.00 90.00 90.00
Positions (direct):
Ni: 0.500 0.910 0.298
Ni: 0.500 0.090 0.798
Pd: 0.000 0.467 0.221
Pd: 0.000 0.533 0.721
Si: 0.000 0.994 0.004
Si: 0.500 0.403 0.477
Si: 0.000 0.006 0.504
Si: 0.500 0.597 0.977

Values from the calculation:
Magnetization ... 0.0 μB/cell


Model two:
The following is a DFT calculation (PBE) of a relaxed Si2NiPd crystal.

abc: 4.654 3.921 6.051
angles: 90.00 103.32 90.00
Positions (direct):
Ni: 0.648 0.250 0.305
Ni: 0.352 0.750 0.695
Pd: 0.224 0.750 0.223
Pd: 0.776 0.250 0.777
Si: 0.686 0.750 0.059
Si: 0.183 0.250 0.478
Si: 0.817 0.750 0.522
Si: 0.314 0.250 0.941

Values from the calculation:
Magnetization ... 0.0 μB/cell


The energy of each structure relative to the most stable one, in eV/atom, is as follows: model one 0.032; model two 0.000.


Model one:
The following is a DFT calculation (PBE) of a relaxed YMgCu crystal.

abc: 4.732 4.732 6.680
angles: 90.00 90.00 120.00
Positions (direct):
Cu: 0.333 0.667 0.250
Cu: 0.667 0.333 0.750
Mg: 0.667 0.333 0.250
Mg: 0.333 0.667 0.750
Y: 0.000 0.000 0.000
Y: 0.000 0.000 0.500

Values from the calculation:
Magnetization ... 0.0 μB/cell


Model two:
The following is a DFT calculation (PBE) of a relaxed YMgCu crystal.

abc: 4.956 4.956 5.979
angles: 90.00 90.00 120.00
Positions (direct):
Cu: 0.333 0.667 0.499
Cu: 0.667 0.333 0.999
Mg: 0.000 0.000 0.251
Mg: 0.000 0.000 0.751
Y: 0.333 0.667 0.000
Y: 0.667 0.333 0.500

Values from the calculation:
Magnetization ... 0.0 μB/cell


The energy of each structure relative to the most stable one, in eV/atom, is as follows: model one 0.078; model two 0.000.


Model one:
The following is a DFT calculation (PBE) of a relaxed CsGeAu crystal.

abc: 5.304 5.304 5.304
angles: 60.00 60.00 60.00
Positions (direct):
Au: 0.000 0.000 0.000
Cs: 0.250 0.250 0.250
Ge: 0.750 0.750 0.750


Model two:
The following is a DFT calculation (PBE) of a relaxed CsGeAu crystal.

abc: 5.590 5.590 5.590
angles: 60.00 60.00 60.00
Positions (direct):
Au: 0.250 0.250 0.250
Cs: 0.000 0.000 0.000
Ge: 0.750 0.750 0.750


The energy of each structure relative to the most stable one, in eV/atom, is as follows: model one 0.000; model two 0.466.


Model one:
The following is a DFT calculation (PBE) of a relaxed TmTlFeTe3 crystal.

abc: 12.299 4.449 13.047
angles: 90.00 90.00 90.00
Each line ends with the local moment (μB).
Positions (direct):
Fe: 0.258 0.250 0.200  3.10
Fe: 0.758 0.250 0.300  3.09
Fe: 0.242 0.750 0.700  3.09
Fe: 0.742 0.750 0.800  3.10
Te: 0.098 0.250 0.063  0.07
Te: 0.465 0.250 0.153  0.09
Te: 0.726 0.750 0.195  0.11
Te: 0.226 0.750 0.305  0.11
Te: 0.965 0.250 0.347  0.09
Te: 0.598 0.250 0.437  0.07
Te: 0.402 0.750 0.563  0.07
Te: 0.035 0.750 0.653  0.09
Te: 0.774 0.250 0.695  0.11
Te: 0.274 0.250 0.805  0.11
Te: 0.535 0.750 0.847  0.09
Te: 0.902 0.750 0.937  0.07
Tl: 0.314 0.750 0.010  0.03
Tl: 0.814 0.750 0.490  0.03
Tl: 0.186 0.250 0.510  0.03
Tl: 0.686 0.250 0.990  0.03
Tm: 0.979 0.750 0.185  0.07
Tm: 0.479 0.750 0.315  0.07
Tm: 0.521 0.250 0.685  0.07
Tm: 0.021 0.250 0.815  0.07

Values from the calculation:
Magnetization ... 15.5 μB/cell


Model two:
The following is a DFT calculation (PBE) of a relaxed TmTlFeTe3 crystal.

abc: 8.937 4.190 11.177
angles: 90.00 111.04 90.00
Each line ends with the local moment (μB).
Positions (direct):
Fe: 0.063 0.250 0.080  3.02
Fe: 0.937 0.750 0.920  3.02
Te: 0.243 0.750 0.058  0.08
Te: 0.061 0.250 0.317  0.08
Te: 0.568 0.250 0.361  0.02
Te: 0.432 0.750 0.639  0.02
Te: 0.939 0.750 0.683  0.08
Te: 0.757 0.250 0.942  0.08
Tl: 0.734 0.750 0.199  0.01
Tl: 0.266 0.250 0.801  0.01
Tm: 0.319 0.750 0.352  0.06
Tm: 0.681 0.250 0.648  0.06

Values from the calculation:
Magnetization ... 7.2 μB/cell


The energy of each structure relative to the most stable one, in eV/atom, is as follows: model one 0.098; model two 0.000.


Model one:
The following is a DFT calculation (PBE) of a relaxed AlAgAsO crystal.

abc: 4.087 6.676 5.363
angles: 90.00 90.00 90.00
Positions (direct):
Ag: 0.000 0.225 0.449
Ag: 0.000 0.775 0.949
Al: 0.500 0.356 0.027
Al: 0.500 0.644 0.527
As: 0.000 0.843 0.433
As: 0.000 0.157 0.933
O: 0.500 0.425 0.344
O: 0.500 0.575 0.844


Model two:
The following is a DFT calculation (PBE) of a relaxed AlAgAsO crystal.

abc: 3.620 3.620 9.474
angles: 90.00 90.00 90.00
Positions (direct):
Ag: 0.000 0.000 0.500
Ag: 0.500 0.500 0.500
Al: 0.000 0.500 0.083
Al: 0.500 0.000 0.917
As: 0.500 0.000 0.279
As: 0.000 0.500 0.721
O: 0.000 0.000 0.000
O: 0.500 0.500 0.000


The energy of each structure relative to the most stable one, in eV/atom, is as follows: model one 0.000; model two 0.155.


Model one:
The following is a DFT calculation (PBE) of a relaxed Ta5Re crystal.

abc: 5.379 5.379 17.448
angles: 90.00 90.00 120.00
Positions (direct):
Re: 0.000 0.000 0.101
Re: 0.000 0.000 0.399
Re: 0.000 0.000 0.601
Re: 0.000 0.000 0.899
Ta: 0.500 0.000 0.000
Ta: 0.000 0.500 0.000
Ta: 0.500 0.500 0.000
Ta: 0.333 0.667 0.123
Ta: 0.667 0.333 0.158
Ta: 0.164 0.327 0.250
Ta: 0.164 0.836 0.250
Ta: 0.673 0.836 0.250
Ta: 0.667 0.333 0.342
Ta: 0.333 0.667 0.377
Ta: 0.500 0.000 0.500
Ta: 0.000 0.500 0.500
Ta: 0.500 0.500 0.500
Ta: 0.667 0.333 0.623
Ta: 0.333 0.667 0.658
Ta: 0.327 0.164 0.750
Ta: 0.836 0.164 0.750
Ta: 0.836 0.673 0.750
Ta: 0.333 0.667 0.842
Ta: 0.667 0.333 0.877

Values from the calculation:
Magnetization ... 0.0 μB/cell


Model two:
The following is a DFT calculation (PBE) of a relaxed Ta5Re crystal.

abc: 5.479 5.479 8.456
angles: 90.00 90.00 120.00
Positions (direct):
Re: 0.000 0.000 0.000
Re: 0.000 0.000 0.500
Ta: 0.333 0.667 0.060
Ta: 0.337 0.169 0.250
Ta: 0.831 0.169 0.250
Ta: 0.831 0.663 0.250
Ta: 0.333 0.667 0.440
Ta: 0.667 0.333 0.560
Ta: 0.169 0.337 0.750
Ta: 0.169 0.831 0.750
Ta: 0.663 0.831 0.750
Ta: 0.667 0.333 0.940

Values from the calculation:
Magnetization ... 0.0 μB/cell


The energy of each structure relative to the most stable one, in eV/atom, is as follows: model one 0.339; model two 0.000.


Model one:
The following is a DFT calculation (PBE) of a relaxed Cu7Ag3 crystal.

abc: 7.162 7.162 5.410
angles: 101.88 101.88 30.50
Positions (direct):
Ag: 0.604 0.604 0.291
Ag: 0.000 0.000 0.500
Ag: 0.396 0.396 0.709
Cu: 0.000 0.000 0.000
Cu: 0.204 0.204 0.091
Cu: 0.392 0.392 0.194
Cu: 0.798 0.798 0.388
Cu: 0.202 0.202 0.612
Cu: 0.608 0.608 0.806
Cu: 0.796 0.796 0.909


Model two:
The following is a DFT calculation (PBE) of a relaxed Cu7Ag3 crystal.

abc: 4.655 4.655 11.427
angles: 99.55 99.55 34.25
Positions (direct):
Ag: 0.304 0.304 0.082
Ag: 0.599 0.599 0.199
Ag: 0.197 0.197 0.418
Cu: 0.900 0.900 0.313
Cu: 0.491 0.491 0.517
Cu: 0.800 0.800 0.618
Cu: 0.097 0.097 0.699
Cu: 0.403 0.403 0.797
Cu: 0.701 0.701 0.879
Cu: 0.008 0.008 0.977


The energy of each structure relative to the most stable one, in eV/atom, is as follows: model one 0.010; model two 0.000.


Model one:
The following is a DFT calculation (PBE) of a relaxed TaSnAsO crystal.

abc: 3.741 3.741 10.315
angles: 90.00 90.00 90.00
Each line ends with the local moment (μB).
Positions (direct):
As: 0.000 0.500 0.237  -0.03
As: 0.500 0.000 0.763  -0.03
O: 0.000 0.000 0.000  -0.01
O: 0.500 0.500 0.000  -0.01
Sn: 0.000 0.000 0.500  0.00
Sn: 0.500 0.500 0.500  0.00
Ta: 0.500 0.000 0.110  0.58
Ta: 0.000 0.500 0.890  0.58

Values from the calculation:
Magnetization ... 1.5 μB/cell


Model two:
The following is a DFT calculation (PBE) of a relaxed TaSnAsO crystal.

abc: 4.055 4.055 10.154
angles: 90.00 90.00 90.00
Positions (direct):
As: 0.000 0.500 0.338
As: 0.500 0.000 0.662
O: 0.000 0.000 0.000
O: 0.500 0.500 0.000
Sn: 0.500 0.000 0.107
Sn: 0.000 0.500 0.893
Ta: 0.000 0.000 0.500
Ta: 0.500 0.500 0.500

Values from the calculation:
Magnetization ... 0.0 μB/cell


The energy of each structure relative to the most stable one, in eV/atom, is as follows: model one 0.040; model two 0.000.